1.
First-principles (PBE-GGA) data for crystalline LiCuF2 at its relaxed geometry, as listed in Alexandria.

Computed properties:
Formation energy (no corrections), meV per atom: -2042
E_tot, eV/atom: -4.480
Space-group type: C2/m (12)

Lattice parameters (Å, degrees): 2.939 2.939 6.113 76.17 76.17 60.00
Sites, in units of the cell vectors:
Li1 0.500 0.500 0.500
Cu1 0.000 0.000 0.000
F1 0.105 0.105 0.686
F2 0.895 0.895 0.314


2.
First-principles (PBE-GGA) data for crystalline NaInSn at its relaxed geometry, as listed in Alexandria.

Computed properties:
Calculated formation energy, eV per atom: -0.1404
E_tot, eV/atom: -2.827
Space-group type: P6/mmm (191)

Lattice parameters (Å, degrees): 5.310 5.310 6.604 90.00 90.00 120.00
Sites, in units of the cell vectors:
Na1 0.000 0.000 0.250
Na2 0.000 0.000 0.750
Sn1 0.333 0.667 0.500
Sn2 0.667 0.333 0.500
In1 0.333 0.667 0.000
In2 0.667 0.333 0.000


3.
First-principles (PBE-GGA) data for crystalline V4Ir3Rh2 at its relaxed geometry, as listed in Alexandria.

Computed properties:
Calculated formation energy, eV per atom: -0.4207
E_tot, eV/atom: -9.061
Space-group type: C2/m (12)

Lattice parameters (Å, degrees): 3.837 4.642 8.045 75.52 89.99 65.58
Sites, in units of the cell vectors:
V1 0.666 0.668 0.894
V2 0.011 0.978 0.336
V3 0.989 0.022 0.664
V4 0.334 0.332 0.106
Ir1 0.338 0.326 0.437
Ir2 0.000 0.000 0.000
Ir3 0.662 0.674 0.563
Rh1 0.335 0.331 0.778
Rh2 0.665 0.669 0.222


4.
First-principles (PBE-GGA) data for crystalline Cs3Na6Hg2 at its relaxed geometry, as listed in Alexandria.

Computed properties:
Calculated formation energy, eV per atom: -0.0600
E_tot, eV/atom: -1.067
Space-group type: I4/mmm (139)

Lattice parameters (Å, degrees): 5.081 5.081 21.370 96.83 96.83 90.00
Sites, in units of the cell vectors:
Cs1 0.000 0.000 0.000
Cs2 0.829 0.829 0.657
Cs3 0.171 0.171 0.343
Na1 0.588 0.088 0.175
Na2 0.088 0.588 0.175
Na3 0.412 0.912 0.825
Na4 0.912 0.412 0.825
Na5 0.729 0.729 0.457
Na6 0.271 0.271 0.543
Hg1 0.362 0.362 0.725
Hg2 0.638 0.638 0.275


5.
First-principles (PBE-GGA) data for crystalline CeTl6 at its relaxed geometry, as listed in Alexandria.

Computed properties:
Calculated formation energy, eV per atom: 0.5010
E_tot, eV/atom: -2.375
Space-group type: Im-3m (229)

Lattice parameters (Å, degrees): 7.228 7.228 7.228 109.47 109.47 109.47
Sites, in units of the cell vectors:
Ce1 0.000 0.000 0.000
Tl1 0.250 0.750 0.500
Tl2 0.500 0.750 0.250
Tl3 0.250 0.500 0.750
Tl4 0.750 0.250 0.500
Tl5 0.500 0.250 0.750
Tl6 0.750 0.500 0.250


6.
First-principles (PBE-GGA) data for crystalline InRhN2 at its relaxed geometry, as listed in Alexandria.

Computed properties:
Formation energy (no corrections), meV per atom: 605
E_tot, eV/atom: -6.081
Space-group type: I-42d (122)

Lattice parameters (Å, degrees): 4.756 4.756 6.127 67.17 67.17 90.00
Sites, in units of the cell vectors:
N1 0.589 0.125 0.250
N2 0.161 0.625 0.250
N3 0.375 0.411 0.750
N4 0.875 0.839 0.750
Rh1 0.500 0.500 0.000
Rh2 0.250 0.750 0.500
In1 0.000 0.000 0.000
In2 0.750 0.250 0.500


7.
First-principles (PBE-GGA) data for crystalline TcBi2Ir2 at its relaxed geometry, as listed in Alexandria.

Computed properties:
Calculated formation energy, eV per atom: 0.8932
E_tot, eV/atom: -6.277
Space-group type: P4/mbm (127)

Lattice parameters (Å, degrees): 7.877 7.877 3.236 90.00 90.00 90.00
Sites, in units of the cell vectors:
Ir1 0.138 0.638 0.500
Ir2 0.638 0.862 0.500
Ir3 0.862 0.362 0.500
Ir4 0.362 0.138 0.500
Bi1 0.340 0.840 0.000
Bi2 0.840 0.660 0.000
Bi3 0.660 0.160 0.000
Bi4 0.160 0.340 0.000
Tc1 0.000 0.000 0.000
Tc2 0.500 0.500 0.000


8.
First-principles (PBE-GGA) data for crystalline Pr3SmSc at its relaxed geometry, as listed in Alexandria.

Computed properties:
Calculated formation energy, eV per atom: 0.1800
E_tot, eV/atom: -4.898
Space-group type: Cmce (64)

Lattice parameters (Å, degrees): 9.649 8.393 8.393 90.71 90.00 90.00
Sites, in units of the cell vectors:
Pr1 0.593 0.814 0.039
Pr2 0.907 0.961 0.186
Pr3 0.407 0.186 0.961
Pr4 0.093 0.039 0.814
Pr5 0.694 0.410 0.090
Pr6 0.806 0.910 0.590
Pr7 0.306 0.590 0.910
Pr8 0.194 0.090 0.410
Pr9 0.593 0.461 0.686
Pr10 0.907 0.314 0.539
Pr11 0.407 0.539 0.314
Pr12 0.093 0.686 0.461
Sm1 0.935 0.638 0.862
Sm2 0.565 0.138 0.362
Sm3 0.065 0.362 0.138
Sm4 0.435 0.862 0.638
Sc1 0.250 0.866 0.134
Sc2 0.750 0.134 0.866
Sc3 0.250 0.366 0.634
Sc4 0.750 0.634 0.366